No. 1
Entry from the Alexandria database: an optimized crystal structure of YSiMo2 (PBE).

Computed properties:
Spin magnetization, μB/f.u.: 0.00
DFT total energy, eV for the cell shown: -97.5

a b c (Å): 3.4203 3.4203 22.8142
angles (deg): 90.00 90.00 120.00
Space group R-3m (No. 166, hexagonal axes)
Inequivalent atoms, fractional coordinates:
Y  0.0000  0.0000  0.0000
Si  0.0000  0.0000  0.5000
Mo  0.0000  0.0000  0.2280

No. 2
Entry from the Alexandria database: an optimized crystal structure of CeAlGaPd (PBE).

Computed properties:
Spin magnetization, μB/f.u.: 0.67
Offset from the most stable computed form, meV/atom: 0.0
DFT total energy, eV for the cell shown: -61.4

a b c (Å): 4.2740 4.2740 15.6892
angles (deg): 90.00 90.00 120.00
Space group R3m (No. 160, hexagonal axes)
Inequivalent atoms, fractional coordinates:
Ce  0.0000  0.0000  0.0000
Al  0.0000  0.0000  0.7908
Ga  0.0000  0.0000  0.2161
Pd  0.0000  0.0000  0.4971

No. 3
Entry from the Alexandria database: an optimized crystal structure of Zr3PaAs4 (PBE).

Computed properties:
Spin magnetization, μB/f.u.: 0.00
DFT total energy, eV for the cell shown: -124.9

a b c (Å): 6.775 7.891 6.840
angles (deg): 90.00 109.75 90.00
Space group P2/c (No. 13)
Inequivalent atoms, fractional coordinates:
Zr  0.000  0.123  0.250
Zr  0.000  0.370  0.750
Zr  0.500  0.124  0.750
Pa  0.500  0.373  0.250
As  0.241  0.371  0.499
As  0.247  0.120  0.998

No. 4
Entry from the Alexandria database: an optimized crystal structure of PmTmMgAg (PBE).

Computed properties:
Spin magnetization, μB/f.u.: 0.00
Offset from the most stable computed form, meV/atom: 42.9
DFT total energy, eV for the cell shown: -56.9

a b c (Å): 7.462 7.462 7.462
angles (deg): 90.00 90.00 90.00
Space group F-43m (No. 216)
Inequivalent atoms, fractional coordinates:
Pm  0.000  0.000  0.000
Tm  0.000  0.000  0.500
Mg  0.250  0.250  0.750
Ag  0.250  0.250  0.250

No. 5
Entry from the Alexandria database: an optimized crystal structure of CdMo2RhPb (PBE).

Computed properties:
Spin magnetization, μB/f.u.: 2.86
DFT total energy, eV for the cell shown: -27.0

a b c (Å): 4.846 4.846 5.112
angles (deg): 90.00 90.00 90.00
Space group P4/mmm (No. 123)
Inequivalent atoms, fractional coordinates:
Cd  0.000  0.000  0.000
Mo  0.000  0.500  0.500
Rh  0.500  0.500  0.500
Pb  0.500  0.500  0.000

No. 6
Entry from the Alexandria database: an optimized crystal structure of ZrSc2Al (PBE).

Computed properties:
Spin magnetization, μB/f.u.: 0.00
DFT total energy, eV for the cell shown: -51.6

a b c (Å): 3.418 4.912 10.378
angles (deg): 90.00 90.00 90.00
Space group Imm2 (No. 44)
Inequivalent atoms, fractional coordinates:
Zr  0.000  0.000  0.000
Sc  0.000  0.000  0.554
Sc  0.000  0.500  0.776
Al  0.000  0.500  0.275

No. 7
Entry from the Alexandria database: an optimized crystal structure of PuTa2Ru (PBE).

Computed properties:
Spin magnetization, μB/f.u.: 4.39
Offset from the most stable computed form, meV/atom: 0.0
DFT total energy, eV for the cell shown: -47.3

a b c (Å): 3.103 3.103 7.697
angles (deg): 90.00 90.00 90.00
Space group P4/mmm (No. 123)
Inequivalent atoms, fractional coordinates:
Pu  0.000  0.000  0.000
Ta  0.500  0.500  0.286
Ru  0.000  0.000  0.500

No. 8
Entry from the Alexandria database: an optimized crystal structure of TaBe2 (PBE).

Computed properties:
Spin magnetization, μB/f.u.: 0.00
DFT total energy, eV for the cell shown: -37.9

a b c (Å): 4.0726 4.0726 4.8693
angles (deg): 90.00 90.00 120.00
Space group P6_3/mmc (No. 194)
Inequivalent atoms, fractional coordinates:
Ta  0.3333  0.6667  0.2500
Be  0.0000  0.0000  0.0000
Be  0.3333  0.6667  0.7500

No. 9
Entry from the Alexandria database: an optimized crystal structure of Pr2EuGa (PBE).

Computed properties:
Spin magnetization, μB/f.u.: 7.21
Offset from the most stable computed form, meV/atom: 39.5
DFT total energy, eV for the cell shown: -23.6

a b c (Å): 4.986 4.986 4.784
angles (deg): 90.00 90.00 90.00
Space group P4/mmm (No. 123)
Inequivalent atoms, fractional coordinates:
Pr  0.000  0.500  0.000
Eu  0.000  0.000  0.500
Ga  0.500  0.500  0.500

No. 10
Entry from the Alexandria database: an optimized crystal structure of Li2UPtO8 (PBE).

Computed properties:
Spin magnetization, μB/f.u.: 0.81
DFT total energy, eV for the cell shown: -79.5

a b c (Å): 4.606 6.546 4.733
angles (deg): 90.00 93.87 90.00
Space group P2/m (No. 10)
Inequivalent atoms, fractional coordinates:
Li  0.000  0.223  0.000
U  0.500  0.000  0.500
Pt  0.500  0.500  0.500
O  0.094  0.500  0.623
O  0.185  0.000  0.746
O  0.358  0.271  0.253

No. 11
Entry from the Alexandria database: an optimized crystal structure of LaAsSe2 (PBE).

Computed properties:
Spin magnetization, μB/f.u.: 0.00
DFT total energy, eV for the cell shown: -40.8

a b c (Å): 4.190 4.202 10.760
angles (deg): 90.00 90.00 90.00
Space group Imm2 (No. 44)
Inequivalent atoms, fractional coordinates:
La  0.000  0.000  0.000
As  0.000  0.500  0.248
Se  0.000  0.000  0.497
Se  0.000  0.500  0.747

No. 12
Entry from the Alexandria database: an optimized crystal structure of AcZnCuGe (PBE).

Computed properties:
Spin magnetization, μB/f.u.: 0.00
DFT total energy, eV for the cell shown: -58.6

a b c (Å): 7.033 7.033 7.033
angles (deg): 90.00 90.00 90.00
Space group F-43m (No. 216)
Inequivalent atoms, fractional coordinates:
Ac  0.000  0.000  0.000
Zn  0.250  0.250  0.750
Cu  0.250  0.250  0.250
Ge  0.000  0.000  0.500

No. 13
Entry from the Alexandria database: an optimized crystal structure of Pm2Dy3Hg4 (PBE).

Computed properties:
Spin magnetization, μB/f.u.: 0.00
DFT total energy, eV for the cell shown: -110.5

a b c (Å): 6.997 17.917 8.170
angles (deg): 90.00 90.00 90.00
Space group Cmce (No. 64)
Inequivalent atoms, fractional coordinates:
Pm  0.000  0.095  0.089
Dy  0.000  0.000  0.500
Dy  0.250  0.239  0.750
Hg  0.000  0.168  0.470
Hg  0.250  0.066  0.750

No. 14
Entry from the Alexandria database: an optimized crystal structure of CdInW2 (PBE).

Computed properties:
Spin magnetization, μB/f.u.: 0.00
Offset from the most stable computed form, meV/atom: 0.0
DFT total energy, eV for the cell shown: -55.7

a b c (Å): 3.222 4.837 9.877
angles (deg): 90.00 90.00 90.00
Space group Cmm2 (No. 35)
Inequivalent atoms, fractional coordinates:
Cd  0.000  0.000  0.000
In  0.000  0.500  0.288
W  0.000  0.000  0.541
W  0.000  0.500  0.747

No. 15
Entry from the Alexandria database: an optimized crystal structure of TlS12Cl4 (PBE).

Computed properties:
Spin magnetization, μB/f.u.: 0.00
DFT total energy, eV for the cell shown: -115.5

a b c (Å): 9.899 9.899 9.899
angles (deg): 90.00 90.00 90.00
Space group Im-3 (No. 204)
Inequivalent atoms, fractional coordinates:
Tl  0.000  0.000  0.000
S  0.000  0.095  0.365
Cl  0.250  0.250  0.250

No. 16
Entry from the Alexandria database: an optimized crystal structure of La2SnPt3 (PBE).

Computed properties:
Spin magnetization, μB/f.u.: 0.00
DFT total energy, eV for the cell shown: -303.1

a b c (Å): 7.985 9.268 15.764
angles (deg): 90.00 90.00 90.00
Space group Fmmm (No. 69)
Inequivalent atoms, fractional coordinates:
La  0.237  0.000  0.000
La  0.250  0.250  0.250
Sn  0.000  0.000  0.334
Pt  0.000  0.000  0.165
Pt  0.000  0.249  0.416

No. 17
Entry from the Alexandria database: an optimized crystal structure of TaGaS (PBE).

Computed properties:
Spin magnetization, μB/f.u.: 0.00
DFT total energy, eV for the cell shown: -81.7

a b c (Å): 13.966 3.197 5.132
angles (deg): 90.00 103.64 90.00
Space group C2/m (No. 12)
Inequivalent atoms, fractional coordinates:
Ta  0.241  0.000  0.242
Ga  0.091  0.000  0.513
S  0.119  0.500  0.984

No. 18
Entry from the Alexandria database: an optimized crystal structure of OsPbSe2 (PBE).

Computed properties:
Spin magnetization, μB/f.u.: 0.00
DFT total energy, eV for the cell shown: -20.6

a b c (Å): 3.065 3.065 9.514
angles (deg): 90.00 90.00 90.00
Space group P4mm (No. 99)
Inequivalent atoms, fractional coordinates:
Os  0.000  0.000  0.000
Pb  0.500  0.500  0.250
Se  0.000  0.000  0.539
Se  0.500  0.500  0.864

No. 19
Entry from the Alexandria database: an optimized crystal structure of TmSnBi2 (PBE).

Computed properties:
Spin magnetization, μB/f.u.: 0.00
Offset from the most stable computed form, meV/atom: 0.0
DFT total energy, eV for the cell shown: -17.4

a b c (Å): 4.197 4.197 6.626
angles (deg): 90.00 90.00 90.00
Space group P4/mmm (No. 123)
Inequivalent atoms, fractional coordinates:
Tm  0.000  0.000  0.000
Sn  0.000  0.000  0.500
Bi  0.500  0.500  0.238

No. 20
Entry from the Alexandria database: an optimized crystal structure of TbSm7Y4 (PBE).

Computed properties:
Spin magnetization, μB/f.u.: 0.00
DFT total energy, eV for the cell shown: -120.9

a b c (Å): 12.073 6.002 12.751
angles (deg): 90.00 117.80 90.00
Space group C2/m (No. 12)
Inequivalent atoms, fractional coordinates:
Tb  0.000  0.000  0.000
Sm  0.000  0.500  0.000
Sm  0.130  0.000  0.499
Sm  0.212  0.500  0.922
Sm  0.242  0.500  0.680
Y  0.064  0.500  0.320
Y  0.137  0.000  0.776

No. 21
Entry from the Alexandria database: an optimized crystal structure of Ba2NpAgS5 (PBE).

Computed properties:
Spin magnetization, μB/f.u.: 1.99
DFT total energy, eV for the cell shown: -211.7

a b c (Å): 4.167 18.144 12.879
angles (deg): 90.00 90.00 90.00
Space group Cmc2_1 (No. 36)
Inequivalent atoms, fractional coordinates:
Ba  0.000  0.110  0.000
Ba  0.000  0.122  0.623
Np  0.000  0.206  0.326
Ag  0.000  0.438  0.748
S  0.000  0.068  0.359
S  0.000  0.287  0.960
S  0.000  0.298  0.690
S  0.000  0.347  0.315
S  0.000  0.498  0.078

No. 22
Entry from the Alexandria database: an optimized crystal structure of SbMo2Os (PBE).

Computed properties:
Spin magnetization, μB/f.u.: 0.00
DFT total energy, eV for the cell shown: -35.8

a b c (Å): 2.949 4.201 5.360
angles (deg): 90.00 90.00 90.00
Space group Pmmm (No. 47)
Inequivalent atoms, fractional coordinates:
Sb  0.000  0.000  0.000
Mo  0.500  0.500  0.263
Os  0.000  0.000  0.500

No. 23
Entry from the Alexandria database: an optimized crystal structure of Li2Ho2F7 (PBE).

Computed properties:
Spin magnetization, μB/f.u.: 0.95
DFT total energy, eV for the cell shown: -128.5

a b c (Å): 8.153 7.429 5.468
angles (deg): 90.00 107.34 90.00
Space group C2/m (No. 12)
Inequivalent atoms, fractional coordinates:
Li  0.000  0.193  0.000
Ho  0.248  0.000  0.558
F  0.000  0.500  0.500
F  0.039  0.000  0.752
F  0.214  0.225  0.261

No. 24
Entry from the Alexandria database: an optimized crystal structure of Th4Si3Cl (PBE).

Computed properties:
Spin magnetization, μB/f.u.: 0.00
DFT total energy, eV for the cell shown: -108.6

a b c (Å): 5.964 5.964 12.005
angles (deg): 90.00 90.00 90.00
Space group I4/mmm (No. 139)
Inequivalent atoms, fractional coordinates:
Th  0.000  0.000  0.242
Th  0.000  0.500  0.000
Si  0.000  0.000  0.000
Si  0.000  0.500  0.250
Cl  0.000  0.000  0.500

No. 25
Entry from the Alexandria database: an optimized crystal structure of LuInGaNi (PBE).

Computed properties:
Spin magnetization, μB/f.u.: 0.00
DFT total energy, eV for the cell shown: -69.2

a b c (Å): 6.655 6.655 6.655
angles (deg): 90.00 90.00 90.00
Space group F-43m (No. 216)
Inequivalent atoms, fractional coordinates:
Lu  0.000  0.000  0.000
In  0.000  0.000  0.500
Ga  0.250  0.250  0.250
Ni  0.250  0.250  0.750